Here is ErThCo after structural relaxation from Alexandria. Energies are from PBE-GGA.

Cell: 3.440 3.440 6.486 Å, 105.38 105.38 90.00°
Sites, in units of the cell vectors:
Co 0.674 0.674 0.349
Th 0.298 0.298 0.597
Er 0.027 0.027 0.055

Output
**Spin magnetization**: 0.20 μB per atom
**Energy relative to the elements**: -0.0727 eV/atom
**Excess energy over the best structure of this formula in the dataset**: 181 meV per atom
**Total energy**: -19.31 eV/cell